VASP calculation (PBE) on a relaxed CrCo2Ni7 crystal.

Calculated formation energy ... 0.65 eV per atom
E_tot ... -5.776 eV/atom

Unit cell a=3.6067 b=6.8085 c=6.8085 alpha=124.17 beta=90.00 gamma=90.00
Site moments in Bohr magnetons follow the coordinates.
Atoms (fractional coordinates):
Ni 0.5000 0.5000 0.5000  0.78
Ni 0.0000 0.8025 0.1975  0.60
Ni 0.5000 0.9160 0.7114  0.38
Ni 0.5000 0.2886 0.0840  0.38
Ni 0.5000 0.0840 0.2886  0.38
Ni 0.5000 0.7114 0.9160  0.38
Ni 0.0000 0.1975 0.8025  0.60
Co 0.5000 0.3032 0.6968  1.72
Co 0.5000 0.6968 0.3032  1.72
Cr 0.0000 0.0000 0.0000  1.46